CoAsI2O | GGA+U | relaxed

Calculated values
N(E_F), states/eV per atom: 0.842
Calculated total energy, eV/cell: -16.4
Space group: P4/mmm
Volume, Å³/cell: 128.0

Geometry as CIF:
```
data_CoAsI2O
_chemical_formula_sum 'Co1 As1 I2 O1'
_symmetry_space_group_name_H-M 'P 1'
_symmetry_Int_Tables_number 1
_symmetry_space_group_name_Hall 'P 1'
_cell_length_a 5.800
_cell_length_b 5.800
_cell_length_c 3.805
_cell_angle_alpha 90.00
_cell_angle_beta 90.00
_cell_angle_gamma 90.00
loop_
_atom_site_label
_atom_site_fract_x
_atom_site_fract_y
_atom_site_fract_z
I1 0.000 0.500 0.000
I2 0.500 0.000 0.000
As1 0.000 0.000 0.000
Co1 0.500 0.500 0.500
O1 0.000 0.000 0.500
```